Here is Sb2Pd2Au at its PBEsol-relaxed geometry from the Alexandria database. Energies are from meta-GGA SCAN.

Output
DOS at the Fermi energy (states/eV/cell): 4.57
Raw formation energy (eV/atom): -0.053
Magnetic moment (μB/cell): 0.00

abc: 3.7705 3.7705 14.2037
angles: 90.00 90.00 90.00
Space group I4/mmm (No. 139)
Unique sites:
1 Sb 0.0000 0.0000 0.1120 x4
2 Pd 0.0000 0.5000 0.2500 x4
3 Au 0.0000 0.0000 0.5000 x2